## Tl2CoNi3F12 (PBE with a Hubbard U)

Data for a geometry-optimized Tl2CoNi3F12 structure.

abc: 7.1681 7.1681 17.8864
angles: 90.00 90.00 120.00
Closest atoms and distances in Å follow each position.
Space group R-3m (No. 166, hexagonal axes)
Symmetry-distinct sites (fractional):
Tl 0.0000 0.0000 0.1152 x6  6 F 2.93-3.24
Co 0.0000 0.0000 0.5000 x3  6 F 1.83
Ni 0.0000 0.5000 0.0000 x9  6 F 1.96-2.05
F 0.0665 0.5332 0.3616 x18  2 Ni 1.96
F 0.0865 0.5432 0.1104 x18  1 Co 1.83, 1 Ni 2.05

## Properties
E, eV per cell: -224.8